A relaxed structure of Rb2CaOsCl6. Source: Alexandria via LeMat-Bulk, functional GGA-PBE.

It has space group Fm-3m (No. 225), with a = 10.250 Å, b = 10.250 Å, c = 10.250 Å, α = 90.00°, β = 90.00° and γ = 90.00°. The distinct sites, in fractional coordinates, are Rb at (0.250, 0.250, 0.250), Ca at (0.000, 0.000, 0.000), Os at (0.000, 0.000, 0.500) and Cl at (0.000, 0.000, 0.264).

Its density of states at the Fermi level is 0.0 states/eV/f.u. The total energy is -4.029 eV per atom. The volume comes out at 26.92 Å³ per atom. The magnetic moment comes out at 0.0000 μB per atom. The calculation puts the formation energy without anion corrections at -1.404 eV per atom.

=====

A relaxed structure of SnBiAs2. Source: Alexandria via LeMat-Bulk, functional GGA-PBE.

It has space group R-3m (No. 166, hexagonal axes), with a = 4.2088 Å, b = 4.2088 Å, c = 20.2928 Å, α = 90.00°, β = 90.00° and γ = 120.00°. The distinct sites, in fractional coordinates, are Sn at (0.0000, 0.0000, 0.0000), Bi at (0.0000, 0.0000, 0.5000) and As at (0.0000, 0.0000, 0.2539).

The energy above the most stable polymorph in this dataset comes out at 0.000 eV per formula unit. Its density of states at the Fermi level is 1.3 states/eV/f.u. The total energy is -4.312 eV per atom. The volume comes out at 25.94 Å³ per atom. The magnetic moment comes out at 0.0000 μB per atom. Its calculated formation energy is -0.016 eV/atom.

=====

A relaxed structure of Pr6In2Os. Source: Alexandria via LeMat-Bulk, functional GGA-PBE.

It has space group Amm2 (No. 38), with a = 3.993 Å, b = 15.467 Å, c = 8.965 Å, α = 90.00°, β = 90.00° and γ = 90.00°. The distinct sites, in fractional coordinates, are Pr at (0.000, 0.000, 0.000), Pr at (0.000, 0.119, 0.636), Pr at (0.500, 0.000, 0.363), Pr at (0.500, 0.196, 0.952), In at (0.000, 0.167, 0.257) and Os at (0.500, 0.000, 0.763).

Its density of states at the Fermi level is 10.1 states/eV/f.u. The total energy is -5.292 eV per atom. The volume comes out at 30.76 Å³ per atom. The magnetic moment comes out at 0.0000 μB per atom. Its calculated formation energy is -0.250 eV/atom.

=====

A relaxed structure of La3Pm3Er8. Source: Alexandria via LeMat-Bulk, functional GGA-PBE.

It has space group Immm (No. 71), with a = 5.689 Å, b = 10.790 Å, c = 15.312 Å, α = 90.00°, β = 90.00° and γ = 90.00°. The distinct sites, in fractional coordinates, are La at (0.000, 0.000, 0.000), La at (0.000, 0.500, 0.312), Pm at (0.000, 0.000, 0.500), Pm at (0.000, 0.301, 0.500), Er at (0.000, 0.162, 0.281) and Er at (0.000, 0.341, 0.102).

Its density of states at the Fermi level is 22.1 states/eV/f.u. The total energy is -4.578 eV per atom. The volume comes out at 33.57 Å³ per atom. The magnetic moment comes out at 0.0000 μB per atom. Its calculated formation energy is 0.103 eV/atom.